The following is a DFT calculation (PBE) of crystalline ZrCoSeN2 at its relaxed geometry.

Lattice parameters (Å, degrees): 4.093 4.093 5.663 90.00 90.00 90.00
Fractional positions:
Zr1 0.000 0.000 0.000
Co1 0.500 0.500 0.500
Se1 0.000 0.000 0.500
N1 0.000 0.500 0.000
N2 0.500 0.000 0.000

Results
DOS at the Fermi energy	2.18	states/eV/atom
energy relative to the lowest polymorph listed for this composition	295	meV per atom
formation energy from raw total energies	3.75	eV/f.u.
final energy	-6.4077	eV/atom